A plane-wave DFT calculation with PBE-GGA was carried out for a relaxed structure of Sc3CrFe.

Cell lengths 4.723, 4.723, 4.723 Å; angles 90.00, 90.00, 90.00 degrees
Last column: magnetic moment on the atom in μB.
Fractional positions:
Sc (0.500, 0.000, 0.000)  0.01
Fe (0.000, 0.000, 0.000)  0.12
Cr (0.500, 0.500, 0.500)  -0.22
Sc (0.000, 0.000, 0.500)  -0.02
Sc (0.000, 0.500, 0.000)  -0.01

Summary:
Energy above the lowest structure with this stoichiometry ... 0.00 eV per formula unit
Size of the total moment ... 0.1 μB/f.u.
Energy of formation ... 0.676 eV per atom